A geometry-optimized PuOF structure. Source: Alexandria via LeMat-Bulk, functional PBE-GGA.

Output
total magnetization = 5.0 μB per formula unit
ΔE_f (raw) = -3.06 eV/atom

Unit cell a=3.6634 b=3.6634 c=4.5947 alpha=90.00 beta=90.00 gamma=120.00
Last column: nearest neighbours and their distance in Å.
Space group P3m1 (No. 156)
Symmetry-distinct sites (fractional):
1 Pu 0.0000 0.0000 0.0000  3 O 2.24, 3 F 2.48
2 O 0.6667 0.3333 0.1621  3 Pu 2.24
3 F 0.3333 0.6667 0.7192  3 Pu 2.48


A geometry-optimized Pu2O7F2 structure. Source: Alexandria via LeMat-Bulk, functional PBE-GGA.

Output
total magnetization = 4.0 μB per formula unit
ΔE_f (raw) = -1.96 eV/atom

Unit cell a=4.1045 b=5.2495 c=9.0246 alpha=94.62 beta=103.05 gamma=98.71
Last column: nearest neighbours and their distance in Å.
Space group P-1 (No. 2)
Symmetry-distinct sites (fractional):
1 Pu 0.1329 0.1093 0.2322  1 F 2.03, 5 O 2.05-2.23
2 O 0.0000 0.0000 0.0000  2 Pu 2.05
3 O 0.0663 0.6906 0.2663  1 O 1.34
4 O 0.1851 0.5208 0.1824  1 O 1.34
5 O 0.3682 0.8908 0.7721  2 Pu 2.05-2.06
6 F 0.2630 0.2159 0.4622  1 Pu 2.03


A geometry-optimized PuO2F structure. Source: Alexandria via LeMat-Bulk, functional PBE-GGA.

Output
total magnetization = 3.0 μB per formula unit
energy above the lowest structure with this stoichiometry = 0.0 kJ/mol of atoms
ΔE_f (raw) = -2.84 eV/atom

Unit cell a=4.5765 b=9.1229 c=5.9578 alpha=90.00 beta=112.53 gamma=90.00
Last column: nearest neighbours and their distance in Å.
Space group C2/c (No. 15)
Symmetry-distinct sites (fractional):
1 Pu 0.0000 0.1244 0.2500  2 O 1.86
2 O 0.1702 0.1243 0.5888  1 Pu 1.86
3 F 0.0000 0.3738 0.7500  2 Pu 2.29


A geometry-optimized PuO2F structure. Source: Alexandria via LeMat-Bulk, functional PBE-GGA.

Output
total magnetization = 5.0 μB per formula unit
energy above the lowest structure with this stoichiometry = 61.3 kJ/mol of atoms
ΔE_f (raw) = -2.20 eV/atom

Unit cell a=3.4303 b=3.4303 c=4.5984 alpha=90.00 beta=90.00 gamma=90.00
Last column: nearest neighbours and their distance in Å.
Space group P4/mmm (No. 123)
Symmetry-distinct sites (fractional):
1 Pu 0.0000 0.0000 0.0000  2 F 2.30, 8 O 2.54
2 O 0.5000 0.5000 0.1622  1 O 1.49
3 F 0.0000 0.0000 0.5000  2 Pu 2.30


A geometry-optimized PuO2F structure. Source: Alexandria via LeMat-Bulk, functional PBE-GGA.

Output
total magnetization = 3.0 μB per formula unit
energy above the lowest structure with this stoichiometry = 26.8 kJ/mol of atoms
ΔE_f (raw) = -2.56 eV/atom

Unit cell a=5.4475 b=5.4475 c=5.4475 alpha=90.00 beta=90.00 gamma=90.00
Last column: nearest neighbours and their distance in Å.
Space group Fm-3m (No. 225)
Symmetry-distinct sites (fractional):
1 Pu 0.0000 0.0000 0.0000  8 O 2.36
2 O 0.2500 0.2500 0.2500  4 F 2.36, 4 Pu 2.36
3 F 0.0000 0.0000 0.5000  8 O 2.36


A geometry-optimized Pu2OF4 structure. Source: Alexandria via LeMat-Bulk, functional PBE-GGA.

Output
total magnetization = 10.0 μB per formula unit
ΔE_f (raw) = -3.38 eV/atom

Unit cell a=4.2109 b=4.2109 c=22.7207 alpha=90.00 beta=90.00 gamma=120.00
Last column: nearest neighbours and their distance in Å.
Space group R-3m (No. 166, hexagonal axes)
Symmetry-distinct sites (fractional):
1 Pu 0.0000 0.0000 0.0909  1 O 2.07
2 O 0.0000 0.0000 0.0000  2 Pu 2.07
3 F 0.0000 0.0000 0.2040  4 Pu 2.57-2.58, 3 F 2.63
4 F 0.0000 0.0000 0.4183  3 Pu 2.43, 3 F 2.63